[1]
A plane-wave DFT calculation with PBE-GGA was carried out for a relaxed Ir2RhCl crystal.

## Properties
ρ = 12.35 g cm⁻³
Space group = Cm
Total magnetic moment = 0.0 Bohr magnetons per cell
Raw total energy = -6.197 eV/atom
E_form (uncorrected) = 0.533 eV/atom
Offset from the most stable computed form = 163 meV per atom

Cell and atoms, written as POSCAR:
```
Ir2RhCl
1.0
-0.709 -3.348 1.339
1.921 -2.567 1.795
-1.535 0.657 7.732
Ir Rh Cl
2 1 1
Direct
0.944 0.944 0.967
0.747 0.747 0.752
0.556 0.556 0.531
0.253 0.253 0.251
```


[2]
A plane-wave DFT calculation with PBE-GGA was carried out for a relaxed AcNpSe2S crystal.

## Properties
ρ = 7.68 g cm⁻³
Space group = Cmcm
Total magnetic moment = 8.0 Bohr magnetons per cell
Raw total energy = -7.291 eV/atom
E_form (uncorrected) = -1.662 eV/atom

Cell and atoms, written as POSCAR:
```
AcNpSe2S
1.0
-1.866 -3.192 -2.066
5.774 -2.624 3.183
-5.354 -2.058 8.016
Ac Se Np S
2 4 2 2
Direct
0.263 0.527 0.750
0.737 0.473 0.250
0.359 0.719 0.062
0.641 0.281 0.938
0.359 0.719 0.438
0.641 0.281 0.562
0.000 0.000 0.000
0.000 0.000 0.500
0.918 0.835 0.750
0.082 0.165 0.250
```


[3]
A plane-wave DFT calculation with PBE-GGA was carried out for a relaxed Sr5Ac2 crystal.

## Properties
ρ = 4.12 g cm⁻³
Space group = I4/mmm
Total magnetic moment = 0.0 Bohr magnetons per cell
Raw total energy = -2.359 eV/atom
ΔE_f = 0.016 eV per atom

Cell and atoms, written as POSCAR:
```
Sr5Ac2
1.0
4.101 0.000 -0.570
-0.079 4.100 -0.570
0.851 0.868 21.144
Sr Ac
5 2
Direct
0.851 0.851 0.702
0.426 0.426 0.851
0.000 0.000 0.000
0.149 0.149 0.298
0.574 0.574 0.149
0.280 0.280 0.561
0.720 0.720 0.439
```


[4]
A plane-wave DFT calculation with PBE-GGA was carried out for a relaxed Ba5Lu2ZrAl2O13 crystal.

## Properties
ρ = 5.96 g cm⁻³
Space group = P6_3/mmc
Total magnetic moment = 0.0 Bohr magnetons per cell
Raw total energy = -7.433 eV/atom
E_form (uncorrected) = -3.123 eV/atom

Cell and atoms, written as POSCAR:
```
Ba5Lu2ZrAl2O13
1.0
-4.074 1.472 4.124
3.516 -4.765 0.837
16.846 14.448 11.484
Al Ba O Lu Zr
4 10 26 4 2
Direct
0.667 0.333 0.320
0.333 0.667 0.680
0.667 0.333 0.180
0.333 0.667 0.820
0.333 0.667 0.958
0.667 0.333 0.458
0.000 0.000 0.638
0.000 0.000 0.138
0.667 0.333 0.750
0.000 0.000 0.862
0.000 0.000 0.362
0.333 0.667 0.250
0.667 0.333 0.042
0.333 0.667 0.542
0.164 0.836 0.449
0.328 0.164 0.949
0.496 0.504 0.657
0.672 0.836 0.449
0.164 0.328 0.051
0.008 0.504 0.657
0.836 0.164 0.551
0.328 0.164 0.551
0.496 0.504 0.843
0.504 0.008 0.157
0.672 0.836 0.051
0.008 0.504 0.843
0.164 0.328 0.449
0.496 0.992 0.657
0.836 0.672 0.551
0.333 0.667 0.750
0.836 0.164 0.949
0.504 0.008 0.343
0.504 0.496 0.157
0.504 0.496 0.343
0.667 0.333 0.250
0.496 0.992 0.843
0.164 0.836 0.051
0.992 0.496 0.157
0.836 0.672 0.949
0.992 0.496 0.343
0.333 0.667 0.104
0.667 0.333 0.604
0.667 0.333 0.896
0.333 0.667 0.396
0.000 0.000 0.500
0.000 0.000 0.000
```


[5]
A plane-wave DFT calculation with PBE-GGA was carried out for a relaxed Tb2Sm5Cd4 crystal.

## Properties
ρ = 7.63 g cm⁻³
Space group = C2/m
Total magnetic moment = 0.0 Bohr magnetons per cell
Raw total energy = -3.394 eV/atom
ΔE_f = -0.074 eV per atom

Cell and atoms, written as POSCAR:
```
Tb2Sm5Cd4
1.0
3.565 0.000 0.000
0.000 8.110 0.153
-1.783 -2.066 11.401
Sm Cd Tb
5 4 2
Direct
0.185 0.500 0.370
0.861 0.965 0.722
0.815 0.500 0.630
0.500 0.000 0.000
0.139 0.035 0.278
0.954 0.667 0.907
0.046 0.333 0.093
0.724 0.831 0.449
0.276 0.169 0.551
0.421 0.328 0.843
0.579 0.672 0.157
```


[6]
A plane-wave DFT calculation with PBE-GGA was carried out for a relaxed AsPd crystal.

## Properties
ρ = 9.15 g cm⁻³
Space group = P-1
Total magnetic moment = 0.0 Bohr magnetons per cell
Raw total energy = -5.129 eV/atom
ΔE_f = -0.208 eV per atom

Cell and atoms, written as POSCAR:
```
AsPd
1.0
4.539 0.023 0.016
2.298 3.962 0.028
0.021 2.625 1.849
Pd As
1 1
Direct
0.101 0.752 0.910
0.601 0.752 0.410
```


[7]
A plane-wave DFT calculation with PBE-GGA was carried out for a relaxed LiCa2NdAu4 crystal.

## Properties
ρ = 9.11 g cm⁻³
Space group = R-3m
Total magnetic moment = 0.0 Bohr magnetons per cell
Raw total energy = -3.673 eV/atom
ΔE_f = -0.699 eV per atom

Cell and atoms, written as POSCAR:
```
LiCa2NdAu4
1.0
-0.207 4.080 -3.030
-1.047 -0.556 -4.946
-8.513 1.971 -1.034
Au Nd Li Ca
4 1 1 2
Direct
0.123 0.123 0.632
0.625 0.625 0.124
0.877 0.877 0.368
0.375 0.375 0.876
0.000 0.000 0.000
0.500 0.500 0.500
0.757 0.757 0.730
0.243 0.243 0.270
```


[8]
A plane-wave DFT calculation with PBE-GGA was carried out for a relaxed Rb3SbCl8 crystal.

## Properties
ρ = 2.64 g cm⁻³
Space group = I4/mmm
Total magnetic moment = 2.0 Bohr magnetons per cell
Raw total energy = -2.910 eV/atom
E_form (uncorrected) = -1.094 eV/atom
Offset from the most stable computed form = 220 meV per atom

Cell and atoms, written as POSCAR:
```
Rb3SbCl8
1.0
-0.247 -2.310 7.129
5.069 -5.305 -1.543
3.040 8.517 -1.078
Cl Rb Sb
8 3 1
Direct
0.325 0.894 0.218
0.675 0.106 0.782
0.894 0.325 0.218
0.325 0.325 0.218
0.106 0.106 0.782
0.675 0.675 0.782
0.106 0.675 0.782
0.894 0.894 0.218
0.750 0.250 0.500
0.250 0.750 0.500
0.500 0.500 0.000
0.000 0.000 0.000
```


[9]
A plane-wave DFT calculation with PBE-GGA was carried out for a relaxed LiPm2CuRh2 crystal.

## Properties
ρ = 8.01 g cm⁻³
Space group = Ibam
Total magnetic moment = 0.0 Bohr magnetons per cell
Raw total energy = -5.521 eV/atom
ΔE_f = -0.486 eV per atom

Cell and atoms, written as POSCAR:
```
LiPm2CuRh2
1.0
-0.151 -2.781 -4.964
-0.075 -4.953 2.777
-7.149 4.045 1.215
Rh Pm Li Cu
4 4 2 2
Direct
0.371 0.624 0.248
0.629 0.376 0.752
0.123 0.876 0.752
0.877 0.124 0.248
0.090 0.333 0.666
0.424 0.167 0.334
0.910 0.667 0.334
0.576 0.833 0.666
0.000 0.250 0.000
0.000 0.750 0.000
0.500 0.750 0.000
0.500 0.250 0.000
```


[10]
A plane-wave DFT calculation with PBE-GGA was carried out for a relaxed AlPdOF2 crystal.

## Properties
ρ = 4.22 g cm⁻³
Space group = P4/mmm
Total magnetic moment = 0.5 Bohr magnetons per cell
Raw total energy = -4.259 eV/atom
E_form (uncorrected) = -0.731 eV/atom
Offset from the most stable computed form = 1157 meV per atom

Cell and atoms, written as POSCAR:
```
AlPdOF2
1.0
4.349 0.000 0.000
0.000 4.349 0.000
0.000 0.000 3.901
O F Al Pd
1 2 1 1
Direct
0.000 0.000 0.500
0.500 0.000 0.000
0.000 0.500 0.000
0.500 0.500 0.500
0.000 0.000 0.000
```


[11]
A plane-wave DFT calculation with PBE-GGA was carried out for a relaxed BeCrAs crystal.

## Properties
ρ = 5.29 g cm⁻³
Space group = F-43m
Total magnetic moment = 3.8 Bohr magnetons per cell
Raw total energy = -5.730 eV/atom
ΔE_f = 0.270 eV per atom
Offset from the most stable computed form = 264 meV per atom

Cell and atoms, written as POSCAR:
```
BeCrAs
1.0
3.922 0.000 0.000
1.961 3.396 0.000
1.961 1.132 3.202
Cr Be As
1 1 1
Direct
0.000 0.000 0.000
0.750 0.750 0.750
0.500 0.500 0.500
```


[12]
A plane-wave DFT calculation with PBE-GGA was carried out for a relaxed Tb12YCo6 crystal.

## Properties
ρ = 8.27 g cm⁻³
Space group = Im-3
Total magnetic moment = 0.0 Bohr magnetons per cell
Raw total energy = -5.632 eV/atom
ΔE_f = -0.123 eV per atom

Cell and atoms, written as POSCAR:
```
Tb12YCo6
1.0
8.008 0.000 -2.831
-4.004 6.935 -2.831
0.000 0.000 8.494
Co Tb Y
6 12 1
Direct
0.500 0.887 0.387
0.887 0.387 0.500
0.500 0.113 0.613
0.387 0.500 0.887
0.113 0.613 0.500
0.613 0.500 0.113
0.691 0.885 0.194
0.503 0.194 0.309
0.806 0.691 0.497
0.497 0.806 0.691
0.194 0.691 0.885
0.309 0.115 0.806
0.691 0.497 0.806
0.194 0.309 0.503
0.806 0.309 0.115
0.309 0.503 0.194
0.885 0.194 0.691
0.115 0.806 0.309
0.000 0.000 0.000
```